Record 1
Material: Dy12Co5Te
Method: DFT, PBE-GGA
State: optimized geometry

## Properties
DFT total energy = -5.5227 eV/atom
uncorrected formation energy = -0.31 eV per atom

Cell: 8.302 8.302 8.302 Å, 110.94 110.43 107.07°
Sites, in units of the cell vectors:
Dy1 0.011 0.205 0.806
Dy2 0.183 0.289 0.471
Dy3 0.183 0.711 0.894
Dy4 0.311 0.002 0.690
Dy5 0.311 0.621 0.310
Dy6 0.399 0.205 0.194
Dy7 0.601 0.795 0.806
Dy8 0.689 0.379 0.690
Dy9 0.689 0.998 0.310
Dy10 0.817 0.289 0.106
Dy11 0.817 0.711 0.529
Dy12 0.989 0.795 0.194
Co1 0.000 0.000 0.000
Co2 0.112 0.612 0.500
Co3 0.377 0.000 0.377
Co4 0.623 0.000 0.623
Co5 0.888 0.388 0.500
Te1 0.500 0.500 0.000

***

Record 2
Material: Dy4CoTe2
Method: DFT, PBE-GGA
State: optimized geometry

## Properties
DFT total energy = -5.3773 eV/atom
uncorrected formation energy = -0.83 eV per atom

Cell: 7.919 12.184 4.138 Å, 90.00 90.00 90.00°
Sites, in units of the cell vectors:
Dy1 0.135 0.194 0.000
Dy2 0.196 0.943 0.500
Dy3 0.304 0.443 0.500
Dy4 0.365 0.694 0.000
Dy5 0.635 0.306 0.000
Dy6 0.696 0.557 0.500
Dy7 0.804 0.057 0.500
Dy8 0.865 0.806 0.000
Co1 0.000 0.000 0.000
Co2 0.500 0.500 0.000
Te1 0.069 0.665 0.500
Te2 0.431 0.165 0.500
Te3 0.569 0.835 0.500
Te4 0.931 0.335 0.500

***

Record 3
Material: Dy3CoTe2
Method: DFT, PBE-GGA
State: optimized geometry

## Properties
DFT total energy = -5.2684 eV/atom
uncorrected formation energy = -0.74 eV per atom

Cell: 5.962 14.627 4.036 Å, 90.00 90.00 90.00°
Sites, in units of the cell vectors:
Dy1 0.000 0.000 0.000
Dy2 0.000 0.380 0.500
Dy3 0.000 0.620 0.500
Dy4 0.500 0.120 0.500
Dy5 0.500 0.500 0.000
Dy6 0.500 0.880 0.500
Co1 0.000 0.500 0.000
Co2 0.500 0.000 0.000
Te1 0.000 0.162 0.500
Te2 0.000 0.838 0.500
Te3 0.500 0.338 0.500
Te4 0.500 0.662 0.500

***

Record 4
Material: DyCoTe
Method: DFT, PBE-GGA
State: optimized geometry

## Properties
DFT total energy = -5.1223 eV/atom
uncorrected formation energy = -0.17 eV per atom

Cell: 11.403 3.701 6.409 Å, 90.00 90.00 90.00°
Sites, in units of the cell vectors:
Dy1 0.152 0.000 0.000
Dy2 0.152 0.500 0.500
Dy3 0.848 0.000 0.000
Dy4 0.848 0.500 0.500
Co1 0.000 0.000 0.334
Co2 0.000 0.500 0.834
Co3 0.500 0.000 0.999
Co4 0.500 0.500 0.499
Te1 0.364 0.000 0.333
Te2 0.364 0.500 0.833
Te3 0.636 0.000 0.333
Te4 0.636 0.500 0.833

***

Record 5
Material: Dy2CoTe
Method: DFT, PBE-GGA
State: optimized geometry

## Properties
DFT total energy = -5.4755 eV/atom
uncorrected formation energy = -0.61 eV per atom

Cell: 4.009 4.009 21.706 Å, 90.00 90.00 120.00°
Sites, in units of the cell vectors:
Dy1 0.000 0.000 0.235
Dy2 0.000 0.000 0.765
Dy3 0.333 0.667 0.431
Dy4 0.333 0.667 0.902
Dy5 0.667 0.333 0.098
Dy6 0.667 0.333 0.569
Co1 0.000 0.000 0.500
Co2 0.333 0.667 0.167
Co3 0.667 0.333 0.833
Te1 0.000 0.000 0.000
Te2 0.333 0.667 0.667
Te3 0.667 0.333 0.333

***

Record 6
Material: Dy7Co2Te2
Method: DFT, PBE-GGA
State: optimized geometry

## Properties
DFT total energy = -5.3945 eV/atom
uncorrected formation energy = -0.60 eV per atom

Cell: 9.381 9.381 9.381 Å, 156.38 66.18 119.18°
Sites, in units of the cell vectors:
Dy1 0.000 0.000 0.000
Dy2 0.286 0.420 0.866
Dy3 0.308 0.623 0.685
Dy4 0.554 0.420 0.134
Dy5 0.621 0.270 0.351
Dy6 0.919 0.270 0.649
Dy7 0.938 0.623 0.315
Co1 0.169 0.932 0.237
Co2 0.694 0.932 0.763
Te1 0.266 0.766 0.500
Te2 0.665 0.665 0.000